Record 1
Computed, not measured: a relaxed TcGeOsN crystal at the PBE level of DFT.

Unit cell a=2.8157 b=3.3505 c=6.0838 alpha=86.42 beta=85.95 gamma=80.18
Closest atoms and distances in Å follow each position.
Fractional coordinates of all 4 atoms:
Tc  0.0000  0.0000  0.0000  1 N 2.03
Ge  0.5356  0.5313  0.7339  1 Os 2.54, 2 Tc 2.55-2.58, 2 Ge 2.82
Os  0.5515  0.5598  0.3150  3 N 1.98-2.04
N  0.1553  0.1261  0.3061  3 Os 1.98-2.04, 1 Tc 2.03

## Properties
The density of states at the Fermi level is 0.73 states/eV/atom. The polymorph energy (0 for the lowest one) is 0.2106 eV/atom. As for the volume: 56.3 Å³ per cell. As for the formation energy from raw total energies: 0.357 eV/atom.

***

Record 2
Computed, not measured: a relaxed TcGeOsN crystal at the PBE level of DFT.

Unit cell a=2.9167 b=2.9346 c=6.7510 alpha=90.00 beta=90.00 gamma=90.00
Closest atoms and distances in Å follow each position.
Fractional coordinates of all 4 atoms:
Tc  0.0000  0.0000  0.0000  4 Os 2.58, 2 Ge 2.58
Ge  0.5000  0.0000  0.3153  2 N 1.87
Os  0.5000  0.5000  0.7724  1 N 1.93
N  0.5000  0.5000  0.4868  2 Ge 1.87, 1 Os 1.93

## Properties
The density of states at the Fermi level is 0.58 states/eV/atom. The polymorph energy (0 for the lowest one) is 0.0615 eV/atom. As for the volume: 57.8 Å³ per cell. As for the formation energy from raw total energies: 0.208 eV/atom.

***

Record 3
Computed, not measured: a relaxed TcGeOsN crystal at the PBE level of DFT.

Unit cell a=4.0119 b=2.8746 c=4.8083 alpha=90.00 beta=110.19 gamma=90.00
Closest atoms and distances in Å follow each position.
Fractional coordinates of all 4 atoms:
Tc  0.0000  0.0000  0.0000  2 N 2.05
Ge  0.3896  0.5000  0.8092  1 N 2.22, 1 Os 2.47
Os  0.6374  0.5000  0.4053  2 N 2.03-2.05
N  0.0999  0.5000  0.3230  2 Os 2.03-2.05, 2 Tc 2.05, 1 Ge 2.22

## Properties
The density of states at the Fermi level is 0.61 states/eV/atom. The polymorph energy (0 for the lowest one) is 0.1695 eV/atom. As for the volume: 52.0 Å³ per cell. As for the formation energy from raw total energies: 0.316 eV/atom.

***

Record 4
Computed, not measured: a relaxed TcGeOsN crystal at the PBE level of DFT.

Unit cell a=2.9880 b=3.9610 c=4.9730 alpha=90.00 beta=90.00 gamma=90.00
Closest atoms and distances in Å follow each position.
Fractional coordinates of all 4 atoms:
Tc  0.0000  0.0000  0.0000  2 N 1.99
Ge  0.0000  0.5000  0.3235  2 Tc 2.55, 2 Os 2.63
Os  0.5000  0.5000  0.7586  2 N 1.98
N  0.5000  0.0000  0.7367  2 Os 1.98, 2 Tc 1.99

## Properties
The density of states at the Fermi level is 0.16 states/eV/atom. The polymorph energy (0 for the lowest one) is 0.0324 eV/atom. As for the volume: 58.9 Å³ per cell. As for the formation energy from raw total energies: 0.179 eV/atom.